The following is a DFT calculation (PBE) of a relaxed Pu2PdRu3 crystal.

```
data_Pu2PdRu3
_symmetry_space_group_name_H-M 'P 1'
_symmetry_Int_Tables_number 1
_cell_length_a 5.2817
_cell_length_b 5.2817
_cell_length_c 5.4080
_cell_angle_alpha 90.04
_cell_angle_beta 119.25
_cell_angle_gamma 119.94
loop_
_symmetry_equiv_pos_as_xyz
'x,y,z'
loop_
_atom_site_label
_atom_site_type_symbol
_atom_site_fract_x
_atom_site_fract_y
_atom_site_fract_z
Ru1 Ru 0.5000 0.0000 0.5000
Pu1 Pu 0.2431 0.6214 0.8645
Pu2 Pu 0.7569 0.3786 0.1355
Ru2 Ru 0.0000 0.0000 0.5000
Ru3 Ru 0.5000 0.5000 0.5000
Pd1 Pd 0.0000 0.0000 0.0000
```

Properties
calculated total energy = -10.4720 eV per atom
space group = R-3m, No. 166